## Hf6GeSb2 (PBE)

Data for Hf6GeSb2 after structural relaxation.

Output
The calculated density comes out at 11.663 g/cm³. The total energy is -8.424 eV/atom.

Cell lengths 5.6332, 7.6652, 10.6174 Å; angles 90.00, 120.51, 90.00 degrees
Closest atoms and distances in Å follow each position.
Sites, in units of the cell vectors:
1 Hf 0.0510 0.1867 0.4449  1 Ge 2.70, 3 Sb 2.88-2.99
2 Hf 0.0510 0.3133 0.9449  1 Ge 2.70, 3 Sb 2.88-2.99
3 Hf 0.3157 0.0191 0.2080  1 Ge 2.73, 2 Sb 2.94-3.01
4 Hf 0.3157 0.4809 0.7080  1 Ge 2.73, 2 Sb 2.94-3.01
5 Hf 0.3258 0.6685 0.4497  1 Ge 2.68, 2 Sb 2.88-2.95
6 Hf 0.3258 0.8315 0.9497  1 Ge 2.68, 2 Sb 2.88-2.95
7 Hf 0.6742 0.1685 0.0503  1 Ge 2.68, 2 Sb 2.88-2.95
8 Hf 0.6742 0.3315 0.5503  1 Ge 2.68, 2 Sb 2.88-2.95
9 Hf 0.6843 0.5191 0.2920  1 Ge 2.73, 2 Sb 2.94-3.01
10 Hf 0.6843 0.9809 0.7920  1 Ge 2.73, 2 Sb 2.94-3.01
11 Hf 0.9490 0.6867 0.0551  1 Ge 2.70, 3 Sb 2.88-2.99
12 Hf 0.9490 0.8133 0.5551  1 Ge 2.70, 3 Sb 2.88-2.99
13 Ge 0.5000 0.0000 0.5000  6 Hf 2.68-2.73
14 Ge 0.5000 0.5000 0.0000  6 Hf 2.68-2.73
15 Sb 0.1591 0.1186 0.7471  9 Hf 2.88-3.13
16 Sb 0.1591 0.3814 0.2471  9 Hf 2.88-3.13
17 Sb 0.8409 0.6186 0.7529  9 Hf 2.88-3.13
18 Sb 0.8409 0.8814 0.2529  9 Hf 2.88-3.13

## Hf5Ge2Sb2 (PBE)

Data for Hf5Ge2Sb2 after structural relaxation.

Output
The calculated density comes out at 11.311 g/cm³. The total energy is -8.093 eV/atom.

Cell lengths 7.9715, 7.9715, 7.2625 Å; angles 90.00, 90.00, 54.61 degrees
Closest atoms and distances in Å follow each position.
Sites, in units of the cell vectors:
1 Hf 0.0000 0.0000 0.0000  4 Ge 2.84-2.85, 2 Sb 2.92
2 Hf 0.0346 0.7124 0.6655  3 Ge 2.76-2.82, 3 Sb 2.90-2.98
3 Hf 0.2124 0.5346 0.1655  3 Ge 2.76-2.82, 3 Sb 2.90-2.98
4 Hf 0.2876 0.9654 0.6655  3 Ge 2.76-2.82, 3 Sb 2.90-2.98
5 Hf 0.4654 0.7876 0.1655  3 Ge 2.76-2.82, 3 Sb 2.90-2.98
6 Hf 0.5000 0.5000 0.5000  4 Ge 2.84-2.85, 2 Sb 2.92
7 Hf 0.5346 0.2124 0.8345  3 Ge 2.76-2.82, 3 Sb 2.90-2.98
8 Hf 0.7124 0.0346 0.3345  3 Ge 2.76-2.82, 3 Sb 2.90-2.98
9 Hf 0.7876 0.4654 0.8345  3 Ge 2.76-2.82, 3 Sb 2.90-2.98
10 Hf 0.9654 0.2876 0.3345  3 Ge 2.76-2.82, 3 Sb 2.90-2.98
11 Ge 0.1340 0.8660 0.3682  1 Ge 2.74, 8 Hf 2.76-2.85
12 Ge 0.3660 0.6340 0.8682  1 Ge 2.74, 8 Hf 2.76-2.85
13 Ge 0.6340 0.3660 0.1318  1 Ge 2.74, 8 Hf 2.76-2.85
14 Ge 0.8660 0.1340 0.6318  1 Ge 2.74, 8 Hf 2.76-2.85
15 Sb 0.2064 0.2064 0.0000  7 Hf 2.90-2.98
16 Sb 0.2936 0.2936 0.5000  7 Hf 2.90-2.98
17 Sb 0.7064 0.7064 0.5000  7 Hf 2.90-2.98
18 Sb 0.7936 0.7936 0.0000  7 Hf 2.90-2.98

## HfGe3Sb (PBE)

Data for HfGe3Sb after structural relaxation.

Output
The polymorph energy (0 for the lowest one) is 0.652 eV per atom. The calculated density comes out at 6.370 g/cm³. The total energy is -4.390 eV/atom.

Cell lengths 5.1310, 5.1310, 5.1310 Å; angles 90.00, 90.00, 90.00 degrees
Closest atoms and distances in Å follow each position.
Sites, in units of the cell vectors:
1 Hf 0.0000 0.0000 0.0000  12 Ge 3.63
2 Ge 0.0000 0.5000 0.5000  2 Sb 2.57
3 Ge 0.5000 0.0000 0.5000  2 Sb 2.57
4 Ge 0.5000 0.5000 0.0000  2 Sb 2.57
5 Sb 0.5000 0.5000 0.5000  6 Ge 2.57

## Hf4GeSb2 (PBE)

Data for Hf4GeSb2 after structural relaxation.

Output
The calculated density comes out at 9.794 g/cm³. The total energy is -7.373 eV/atom.

Cell lengths 8.2141, 8.2141, 8.2141 Å; angles 145.76, 145.76, 49.20 degrees
Closest atoms and distances in Å follow each position.
Sites, in units of the cell vectors:
1 Hf 0.0000 0.5000 0.5000  2 Ge 2.42
2 Hf 0.1716 0.1716 0.0000  1 Ge 2.56
3 Hf 0.5000 0.0000 0.5000  2 Ge 2.42
4 Hf 0.8284 0.8284 0.0000  1 Ge 2.56
5 Ge 0.0000 0.0000 0.0000  6 Hf 2.42-2.56
6 Sb 0.3639 0.3639 0.0000  5 Hf 2.87-3.16
7 Sb 0.6361 0.6361 0.0000  5 Hf 2.87-3.16

## HfGeSb3 (PBE)

Data for HfGeSb3 after structural relaxation.

Output
The polymorph energy (0 for the lowest one) is 0.000 eV per atom. The calculated density comes out at 6.188 g/cm³. The total energy is -4.879 eV/atom.

Cell lengths 5.4895, 5.4895, 5.4895 Å; angles 90.00, 90.00, 90.00 degrees
Closest atoms and distances in Å follow each position.
Sites, in units of the cell vectors:
1 Hf 0.0000 0.0000 0.0000  6 Sb 2.74
2 Ge 0.5000 0.5000 0.5000  12 Sb 3.88
3 Sb 0.0000 0.0000 0.5000  2 Hf 2.74
4 Sb 0.0000 0.5000 0.0000  2 Hf 2.74
5 Sb 0.5000 0.0000 0.0000  2 Hf 2.74

## Hf4GeSb7 (PBE)

Data for Hf4GeSb7 after structural relaxation.

Output
The calculated density comes out at 9.696 g/cm³. The total energy is -6.533 eV/atom.

Cell lengths 7.3527, 3.9855, 9.5788 Å; angles 90.00, 90.45, 90.00 degrees
Closest atoms and distances in Å follow each position.
Sites, in units of the cell vectors:
1 Hf 0.0000 0.0000 0.0000  9 Sb 2.98-3.31
2 Hf 0.0129 0.5000 0.5061  8 Sb 2.94-3.17, 1 Ge 3.08
3 Hf 0.4984 0.0000 0.8225  2 Ge 2.93, 7 Sb 2.96-3.10
4 Hf 0.5195 0.5000 0.3343  1 Ge 2.83, 7 Sb 3.00-3.11
5 Ge 0.6225 0.5000 0.6200  4 Sb 2.81-3.05, 4 Hf 2.83-3.08
6 Sb 0.1258 0.5000 0.2121  4 Sb 2.94-3.15, 4 Hf 2.94-3.11
7 Sb 0.1881 0.5000 0.8095  5 Hf 3.03-3.17, 2 Sb 3.23
8 Sb 0.3327 0.0000 0.5238  5 Hf 3.03-3.10, 2 Ge 3.05
9 Sb 0.3935 0.0000 0.1198  4 Sb 2.94-3.14, 4 Hf 2.96-3.10
10 Sb 0.6929 0.5000 0.0138  5 Hf 3.02-3.33, 2 Sb 3.14
11 Sb 0.8238 0.0000 0.3169  5 Hf 3.00-3.31, 2 Sb 3.15
12 Sb 0.8697 0.0000 0.7050  2 Ge 2.81, 4 Hf 2.96-2.98